1.
DFT (GGA-PBEsol) results for a relaxed structure of Sr19In8N7.

Output
The calculation puts the total moment at 0.000 μB per atom. The calculation puts the formation energy (no corrections) at -0.594 eV per atom. The total DFT energy (no corrections) comes out at -138.7 eV/cell.

abc: 10.961 10.961 10.961
angles: 60.00 60.00 60.00
Element x y z (fractional)
N 0.326 0.674 0.674
N 0.326 0.326 0.674
N 0.674 0.326 0.326
N 0.326 0.674 0.326
N 0.000 0.000 0.000
N 0.674 0.674 0.326
N 0.674 0.326 0.674
Sr 0.167 0.833 0.833
Sr 0.500 0.830 0.500
Sr 0.830 0.170 0.500
Sr 0.500 0.830 0.170
Sr 0.830 0.500 0.500
Sr 0.167 0.167 0.833
Sr 0.830 0.500 0.170
Sr 0.167 0.833 0.167
Sr 0.833 0.167 0.833
Sr 0.500 0.500 0.170
Sr 0.170 0.830 0.500
Sr 0.170 0.500 0.830
Sr 0.500 0.170 0.500
Sr 0.833 0.833 0.167
Sr 0.500 0.170 0.830
Sr 0.500 0.500 0.830
Sr 0.170 0.500 0.500
Sr 0.833 0.167 0.167
Sr 0.500 0.500 0.500
In 0.464 0.179 0.179
In 0.821 0.821 0.536
In 0.536 0.821 0.821
In 0.179 0.464 0.179
In 0.821 0.536 0.821
In 0.179 0.179 0.179
In 0.821 0.821 0.821
In 0.179 0.179 0.464

***

2.
DFT (GGA-PBEsol) results for a relaxed structure of Sr4In2N.

Output
The calculation puts the total moment at 0.000 μB per atom. The calculation puts the formation energy (no corrections) at -0.565 eV per atom. The total DFT energy (no corrections) comes out at -51.6 eV/cell.

abc: 5.188 5.188 15.600
angles: 99.57 99.57 90.00
Element x y z (fractional)
In 0.591 0.591 0.182
In 0.841 0.341 0.682
In 0.409 0.409 0.818
In 0.659 0.159 0.318
Sr 0.168 0.668 0.335
Sr 0.332 0.832 0.665
Sr 0.000 0.500 0.000
Sr 0.750 0.750 0.500
Sr 0.250 0.250 0.500
Sr 0.918 0.918 0.835
Sr 0.082 0.082 0.165
Sr 0.500 0.000 0.000
N 0.000 0.000 0.000
N 0.250 0.750 0.500

***

3.
DFT (GGA-PBEsol) results for a relaxed structure of SrInTeN2.

Output
The calculation puts the total moment at 0.852 μB per atom. The calculation puts the formation energy (no corrections) at 1.180 eV per atom. The total DFT energy (no corrections) comes out at -19.5 eV/cell. As for the energy above the most stable polymorph in this dataset: 0.590 eV/atom.

abc: 4.748 4.748 6.474
angles: 90.00 90.00 90.00
Each line ends with the local moment (μB).
Element x y z (fractional)
In 0.500 0.500 0.500  -0.01
Sr 0.000 0.000 0.000  0.07
N 0.000 0.500 0.000  1.35
N 0.500 0.000 0.000  1.35
Te 0.000 0.000 0.500  0.08

***

4.
DFT (GGA-PBEsol) results for a relaxed structure of SrInTeN2.

Output
The calculation puts the total moment at 0.601 μB per atom. The calculation puts the formation energy (no corrections) at 0.591 eV per atom. The total DFT energy (no corrections) comes out at -22.4 eV/cell. As for the energy above the most stable polymorph in this dataset: 0.000 eV/atom.

abc: 4.455 4.455 5.788
angles: 90.00 90.00 90.00
Each line ends with the local moment (μB).
Element x y z (fractional)
In 0.000 0.000 0.000  -0.04
Te 0.000 0.000 0.500  0.15
N 0.000 0.500 0.000  0.97
N 0.500 0.000 0.000  0.97
Sr 0.500 0.500 0.500  0.00

***

5.
DFT (GGA-PBEsol) results for a relaxed structure of Tb3InN.

Output
The calculation puts the total moment at 0.000 μB per atom. The calculation puts the formation energy (no corrections) at -1.092 eV per atom. The total DFT energy (no corrections) comes out at -32.0 eV/cell.

abc: 4.779 4.779 4.779
angles: 90.00 90.00 90.00
Element x y z (fractional)
Tb 0.000 0.500 0.500
Tb 0.500 0.000 0.500
Tb 0.500 0.500 0.000
N 0.500 0.500 0.500
In 0.000 0.000 0.000

***

6.
DFT (GGA-PBEsol) results for a relaxed structure of InTcN2.

Output
The calculation puts the total moment at 0.000 μB per atom. The calculation puts the formation energy (no corrections) at 0.067 eV per atom. The total DFT energy (no corrections) comes out at -31.0 eV/cell.

abc: 2.902 2.902 7.005
angles: 78.05 78.05 60.00
Element x y z (fractional)
N 0.891 0.891 0.327
N 0.109 0.109 0.673
Tc 0.500 0.500 0.500
In 0.000 0.000 0.000

***

7.
DFT (GGA-PBEsol) results for a relaxed structure of InTc3N.

Output
The calculation puts the total moment at 2.210 μB per atom. The calculation puts the formation energy (no corrections) at 3.784 eV per atom. The total DFT energy (no corrections) comes out at -26.4 eV/cell.

abc: 4.992 4.992 4.992
angles: 90.00 90.00 90.00
Each line ends with the local moment (μB).
Element x y z (fractional)
In 0.000 0.000 0.000  -0.07
Tc 0.500 0.000 0.000  2.97
Tc 0.000 0.500 0.000  2.97
Tc 0.000 0.000 0.500  2.97
N 0.500 0.500 0.500  0.98

***

8.
DFT (GGA-PBEsol) results for a relaxed structure of In3TcN.

Output
The calculation puts the total moment at 0.614 μB per atom. The calculation puts the formation energy (no corrections) at 1.309 eV per atom. The total DFT energy (no corrections) comes out at -22.2 eV/cell.

abc: 5.131 5.131 5.131
angles: 90.00 90.00 90.00
Each line ends with the local moment (μB).
Element x y z (fractional)
In 0.000 0.500 0.000  0.00
In 0.000 0.000 0.500  0.00
In 0.500 0.000 0.000  0.00
Tc 0.000 0.000 0.000  0.64
N 0.500 0.500 0.500  1.68

***

9.
DFT (GGA-PBEsol) results for a relaxed structure of ZnInTe2N.

Output
The calculation puts the total moment at 0.318 μB per atom. The calculation puts the formation energy (no corrections) at 0.958 eV per atom. The total DFT energy (no corrections) comes out at -15.4 eV/cell.

abc: 3.929 5.804 5.804
angles: 90.00 90.00 90.00
Each line ends with the local moment (μB).
Element x y z (fractional)
Te 0.000 0.500 0.000  0.16
Te 0.000 0.000 0.500  0.16
In 0.000 0.000 0.000  0.00
N 0.500 0.000 0.000  0.78
Zn 0.500 0.500 0.500  -0.02

***

10.
DFT (GGA-PBEsol) results for a relaxed structure of Ti2InN.

Output
The calculation puts the total moment at 0.000 μB per atom. The calculation puts the formation energy (no corrections) at -1.221 eV per atom. The total DFT energy (no corrections) comes out at -66.1 eV/cell.

abc: 3.053 3.053 13.905
angles: 90.00 90.00 120.00
Element x y z (fractional)
Ti 0.333 0.667 0.921
Ti 0.667 0.333 0.079
Ti 0.667 0.333 0.421
Ti 0.333 0.667 0.579
In 0.667 0.333 0.750
In 0.333 0.667 0.250
N 0.000 0.000 0.500
N 0.000 0.000 0.000

***

11.
DFT (GGA-PBEsol) results for a relaxed structure of Ti3InN.

Output
The calculation puts the total moment at 0.000 μB per atom. The calculation puts the formation energy (no corrections) at -0.987 eV per atom. The total DFT energy (no corrections) comes out at -41.4 eV/cell.

abc: 4.152 4.152 4.152
angles: 90.00 90.00 90.00
Element x y z (fractional)
In 0.500 0.500 0.500
Ti 0.000 0.000 0.500
Ti 0.000 0.500 0.000
Ti 0.500 0.000 0.000
N 0.000 0.000 0.000

***

12.
DFT (GGA-PBEsol) results for a relaxed structure of YTlIn2N.

Output
The calculation puts the total moment at 0.120 μB per atom. The calculation puts the formation energy (no corrections) at 1.625 eV per atom. The total DFT energy (no corrections) comes out at -15.8 eV/cell.

abc: 5.892 5.892 5.896
angles: 90.00 90.00 90.00
Each line ends with the local moment (μB).
Element x y z (fractional)
In 0.500 0.000 0.000  -0.15
In 0.000 0.500 0.000  -0.15
Y 0.000 0.000 0.000  -0.63
Tl 0.000 0.000 0.500  -0.13
N 0.500 0.500 0.500  1.72

***

13.
DFT (GGA-PBEsol) results for a relaxed structure of Tm3InN.

Output
The calculation puts the total moment at 0.000 μB per atom. The calculation puts the formation energy (no corrections) at -1.140 eV per atom. The total DFT energy (no corrections) comes out at -31.9 eV/cell.

abc: 4.668 4.668 4.668
angles: 90.00 90.00 90.00
Element x y z (fractional)
In 0.000 0.000 0.000
N 0.500 0.500 0.500
Tm 0.000 0.500 0.500
Tm 0.500 0.500 0.000
Tm 0.500 0.000 0.500

***

14.
DFT (GGA-PBEsol) results for a relaxed structure of YInN2.

Output
The calculation puts the total moment at 0.272 μB per atom. The calculation puts the formation energy (no corrections) at 0.309 eV per atom. The total DFT energy (no corrections) comes out at -25.6 eV/cell.

abc: 3.507 3.507 6.721
angles: 74.87 74.87 60.00
Each line ends with the local moment (μB).
Element x y z (fractional)
In 0.500 0.500 0.500  0.00
N 0.889 0.889 0.334  0.38
N 0.111 0.111 0.666  0.38
Y 0.000 0.000 0.000  0.13